# 1
Compound: InReSe2
Source: Alexandria
Functional: PBE
Structure: optimized geometry

```
InReSe2
1.0
5.289 -1.588 0.000
5.289 1.588 0.000
-2.818 0.000 5.444
In Re Se
1 1 2
Cartesian
0.000 0.000 0.000
4.818 0.000 5.075
0.384 0.000 3.392
3.098 0.000 1.419
```


# 2
Compound: InRe2Se
Source: Alexandria
Functional: PBE
Structure: optimized geometry

```
InRe2Se
1.0
2.688 -5.105 0.000
2.688 5.105 0.000
-2.040 0.000 2.652
In Re Se
1 2 1
Cartesian
0.000 0.000 0.000
0.324 2.553 1.326
0.324 -2.553 1.326
2.688 0.000 0.000
```


# 3
Compound: InReSe2
Source: Alexandria
Functional: PBE
Structure: optimized geometry

```
InReSe2
1.0
1.622 0.936 9.303
-1.622 0.936 9.303
0.000 -1.872 9.303
In Re Se
1 1 2
Cartesian
0.000 0.000 0.000
0.000 0.000 13.954
0.000 0.000 6.409
0.000 0.000 21.499
```


# 4
Compound: In2ReSe
Source: Alexandria
Functional: PBE
Structure: optimized geometry

```
In2ReSe
1.0
3.125 0.000 0.000
0.000 3.125 0.000
0.000 0.000 8.397
In Re Se
2 1 1
Cartesian
0.000 0.000 1.797
0.000 0.000 6.599
1.563 1.563 0.000
1.563 1.563 4.198
```


# 5
Compound: In2ReSe
Source: Alexandria
Functional: PBE
Structure: optimized geometry

```
In2ReSe
1.0
3.506 0.000 0.000
0.000 3.496 0.000
-0.406 0.000 6.479
In Re Se
2 1 1
Cartesian
-0.027 0.000 1.473
3.127 0.000 5.006
1.753 1.748 0.000
1.550 1.748 3.239
```


# 6
Compound: InReSe2
Source: Alexandria
Functional: PBE
Structure: optimized geometry

```
InReSe2
1.0
-1.564 1.565 9.184
1.564 -1.565 9.184
1.564 1.565 -9.184
In Re Se
1 1 2
Cartesian
0.000 0.000 0.000
1.564 0.000 4.491
0.000 0.000 6.386
0.000 1.565 3.122
```


# 7
Compound: InReSe2
Source: Alexandria
Functional: PBE
Structure: optimized geometry

```
InReSe2
1.0
1.620 0.935 9.897
-1.620 0.935 9.897
0.000 -1.870 9.897
In Re Se
1 1 2
Cartesian
0.000 0.000 0.000
0.000 0.000 14.846
0.000 0.000 3.200
0.000 0.000 26.492
```


# 8
Compound: InRe2Se
Source: Alexandria
Functional: PBE
Structure: optimized geometry

```
InRe2Se
1.0
3.104 0.000 0.000
0.000 3.104 0.000
0.000 0.000 6.803
In Re Se
1 2 1
Cartesian
0.000 0.000 0.000
1.552 1.552 1.921
1.552 1.552 4.882
0.000 0.000 3.401
```


# 9
Compound: InReSe
Source: Alexandria
Functional: PBE
Structure: optimized geometry

```
InReSe
1.0
0.000 2.550 7.991
1.525 0.000 7.991
1.525 2.550 0.000
In Re Se
1 1 1
Cartesian
0.000 0.000 0.000
1.525 2.550 10.542
1.525 2.550 4.495
```


# 10
Compound: InRe3Se
Source: Alexandria
Functional: PBE
Structure: optimized geometry

```
InRe3Se
1.0
4.578 0.000 0.000
0.000 4.578 0.000
0.000 0.000 4.578
In Re Se
1 3 1
Cartesian
0.000 0.000 0.000
0.000 2.289 2.289
2.289 0.000 2.289
2.289 2.289 0.000
2.289 2.289 2.289
```


# 11
Compound: InRe2Se
Source: Alexandria
Functional: PBE
Structure: optimized geometry

```
InRe2Se
1.0
4.025 0.000 0.000
0.000 4.025 0.000
0.000 0.000 4.294
In Re Se
1 2 1
Cartesian
0.000 0.000 0.000
0.000 2.013 2.147
2.013 0.000 2.147
2.013 2.013 0.000
```


# 12
Compound: InRe2Se
Source: Alexandria
Functional: PBE
Structure: optimized geometry

```
InRe2Se
1.0
1.494 -2.429 0.000
1.494 2.429 0.000
0.000 0.000 10.350
In Re Se
1 2 1
Cartesian
0.000 0.000 0.000
0.000 0.000 4.754
1.494 0.000 2.628
1.494 0.000 6.940
```


# 13
Compound: InReSe2
Source: Alexandria
Functional: PBE
Structure: optimized geometry

```
InReSe2
1.0
-2.131 2.131 4.143
2.131 -2.131 4.143
2.131 2.131 -4.143
In Re Se
1 1 2
Cartesian
0.000 0.000 0.000
2.131 0.000 2.072
0.000 0.000 4.143
0.000 2.131 2.072
```


# 14
Compound: In2ReSe
Source: Alexandria
Functional: PBE
Structure: optimized geometry

```
In2ReSe
1.0
-2.168 2.168 4.191
2.168 -2.168 4.191
2.168 2.168 -4.191
In Re Se
2 1 1
Cartesian
0.000 0.000 0.000
0.000 2.168 2.095
2.168 0.000 2.095
0.000 0.000 4.191
```


# 15
Compound: InRe2Se
Source: Alexandria
Functional: PBE
Structure: optimized geometry

```
InRe2Se
1.0
3.003 0.000 0.000
0.000 4.592 0.000
0.000 0.000 5.132
In Re Se
1 2 1
Cartesian
0.000 0.000 0.000
0.000 2.296 3.397
1.501 0.000 2.656
1.501 2.296 1.423
```


# 16
Compound: In2ReSe
Source: Alexandria
Functional: PBE
Structure: optimized geometry

```
In2ReSe
1.0
4.349 0.000 0.000
0.000 1.836 5.104
0.000 -1.836 5.104
In Re Se
2 1 1
Cartesian
0.000 0.000 0.000
2.174 0.000 3.174
2.174 0.000 5.998
0.000 0.000 7.365
```


Computed raw formation energy (eV/f.u.) in order:
0.33, 3.58, 0.15, 2.21, 1.99, 0.26, 0.04, 2.91, 1.65, 7.94, 4.39, 2.20, 3.43, 2.96, 2.01, 1.18